4
Lattice="1.850 1.068 5.899 -1.850 1.068 5.899 0.000 -2.136 5.899" Properties=species:S:1:pos:R:3 comment="SiAs2Ir | Alexandria | PBE-GGA | relaxed" vol_a3_per_cell=70 e_form_raw_kj_per_mol_fu=68 space_group=R-3m pbc="T T T"
Si 0.000 0.000 0.000
As 0.000 0.000 4.345
As 0.000 0.000 13.352
Ir 0.000 0.000 8.849

=====

15
Lattice="5.708 0.000 0.000 -2.854 4.944 0.000 0.000 0.000 10.491" Properties=species:S:1:pos:R:3 comment="Th3Si2AsIr9 | Alexandria | PBE-GGA | relaxed" vol_a3_per_cell=296 e_form_raw_kj_per_mol_fu=-720 space_group=P-3m1 pbc="T T T"
Th 0.000 0.000 0.000
Th 0.000 3.296 6.238
Th 2.854 1.648 4.253
Si 0.000 3.296 1.698
Si 2.854 1.648 8.793
As 0.000 0.000 5.246
Ir -1.427 2.472 0.000
Ir 0.000 1.627 3.361
Ir -1.445 4.130 3.361
Ir 1.409 0.814 7.130
Ir 2.854 0.000 0.000
Ir 1.427 2.472 0.000
Ir 1.445 4.130 3.361
Ir 4.299 0.814 7.130
Ir 2.854 3.316 7.130

=====

18
Lattice="8.251 -2.019 0.000 8.251 2.019 0.000 -2.981 0.000 9.519" Properties=species:S:1:pos:R:3 comment="SmAs2Ir3 | Alexandria | PBE-GGA | relaxed" formation_enthalpy_0k_ev_per_atom=-0.60 vol_a3_per_cell=317 space_group=C2/m pbc="T T T"
Sm 0.000 0.000 0.000
Sm 0.490 0.000 6.628
Sm 13.032 0.000 2.892
As 2.871 0.000 1.230
As 4.371 0.000 5.170
As 6.961 0.000 2.089
As 6.560 0.000 7.430
As 9.151 0.000 4.349
As 10.650 0.000 8.289
Ir -0.272 0.000 3.086
Ir 2.488 0.000 3.741
Ir 5.195 0.000 0.452
Ir 3.801 0.000 7.531
Ir 6.761 0.000 4.760
Ir 9.720 0.000 1.989
Ir 8.326 0.000 9.067
Ir 11.033 0.000 5.778
Ir 13.793 0.000 6.434

=====

4
Lattice="2.531 1.462 3.569 -2.531 1.462 3.569 0.000 -2.923 3.569" Properties=species:S:1:pos:R:3 comment="SmAs2Ir | Alexandria | PBE-GGA | relaxed" formation_enthalpy_0k_ev_per_atom=-0.41 vol_a3_per_cell=79 space_group=R-3m pbc="T T T"
Sm 0.000 0.000 0.000
As 0.000 0.000 2.868
As 0.000 0.000 7.838
Ir 0.000 0.000 5.353

=====

16
Lattice="4.295 2.480 7.224 -4.295 2.480 7.224 0.000 -4.960 7.224" Properties=species:S:1:pos:R:3 comment="Sm8Te4As3Ir | Alexandria | PBE-GGA | relaxed" vol_a3_per_cell=462 e_form_raw_kj_per_mol_fu=-2146 space_group=R-3m pbc="T T T"
Sm 0.000 0.000 5.211
Sm -2.081 -1.202 12.397
Sm 0.000 -2.403 9.275
Sm -2.081 1.202 9.275
Sm 2.081 -1.202 12.397
Sm 0.000 2.403 12.397
Sm 2.081 1.202 9.275
Sm 0.000 0.000 16.461
Te 0.000 0.000 0.000
Te -2.148 -1.240 7.224
Te -2.148 1.240 14.448
Te 0.000 2.480 7.224
As -4.295 0.000 10.836
As -2.148 1.240 3.612
As 2.148 1.240 3.612
Ir 0.000 0.000 10.836

=====

12
Lattice="9.568 -2.122 0.000 9.568 2.122 0.000 -2.518 0.000 8.479" Properties=species:S:1:pos:R:3 comment="Sm6Te3AsIr2 | Alexandria | PBE-GGA | relaxed" vol_a3_per_cell=344 e_form_raw_kj_per_mol_fu=-1386 space_group=C2/m pbc="T T T"
Sm -0.341 0.000 2.040
Sm 5.101 0.000 3.690
Sm 4.213 0.000 7.476
Sm 12.406 0.000 1.003
Sm 11.518 0.000 4.790
Sm 16.960 0.000 6.439
Te 0.989 0.000 7.124
Te 8.310 0.000 4.240
Te 15.630 0.000 1.355
As 9.568 0.000 0.000
Ir 2.363 0.000 2.866
Ir 14.256 0.000 5.613

=====

8
Lattice="-3.098 3.098 5.969 3.098 -3.098 5.969 3.098 3.098 -5.969" Properties=species:S:1:pos:R:3 comment="Sn2AsIr | Alexandria | PBE-GGA | relaxed" formation_enthalpy_0k_ev_per_atom=0.18 vol_a3_per_cell=229 space_group=I-42d pbc="T T T"
Sn 4.646 1.412 -1.492
Sn 1.412 1.549 1.492
Sn -1.549 1.685 4.476
Sn 1.685 1.549 7.461
As 3.098 0.000 2.984
As 0.000 0.000 5.969
Ir 0.000 0.000 0.000
Ir 0.000 3.098 2.984

=====

8
Lattice="-2.871 2.871 5.707 2.871 -2.871 5.707 2.871 2.871 -5.707" Properties=species:S:1:pos:R:3 comment="SnAsIr2 | Alexandria | PBE-GGA | relaxed" formation_enthalpy_0k_ev_per_atom=0.18 vol_a3_per_cell=188 space_group=I-42d pbc="T T T"
Sn 0.000 0.000 0.000
Sn 0.000 2.871 2.854
As 2.871 0.000 2.854
As 0.000 0.000 5.707
Ir 1.436 -1.224 4.280
Ir 1.648 1.436 1.427
Ir 1.436 4.095 -1.427
Ir 1.224 1.436 7.134